1.
NaTbSmSn | PBE-GGA | optimized geometry

Summary:
N(E_F) in states/eV per atom: 0.855
E_form in eV/atom: -0.295
SG: F-43m, No. 216

Cell lengths 5.3912, 5.3912, 5.3912 Å; angles 60.00, 60.00, 60.00 degrees
Last column: nearest neighbours and their distance in Å.
Fractional positions:
Na: 0.7500 0.7500 0.7500  4 Tb 3.30, 4 Sm 3.30
Tb: 0.0000 0.0000 0.0000  4 Sn 3.30, 4 Na 3.30
Sn: 0.2500 0.2500 0.2500  4 Tb 3.30, 4 Sm 3.30
Sm: 0.5000 0.5000 0.5000  4 Sn 3.30, 4 Na 3.30



2.
Na2SmSnTe4 | PBE-GGA | optimized geometry

Summary:
N(E_F) in states/eV per atom: 0.335
SG: P2/m, No. 10
Formation energy (no corrections) in eV/f.u.: -7.118

Cell lengths 4.4194, 7.8121, 7.9940 Å; angles 108.61, 90.00, 90.00 degrees
Last column: nearest neighbours and their distance in Å.
Fractional positions:
Na: 0.5000 0.0000 0.5000  6 Te 3.25-3.27
Na: 0.0000 0.5000 0.5000  6 Te 3.28-3.31
Sm: 0.5000 0.5000 0.0000  6 Te 3.14-3.16
Sn: 0.0000 0.0000 0.0000  6 Te 3.11
Te: 0.5000 0.2407 0.2326  2 Sn 3.11, 1 Sm 3.16, 3 Na 3.27-3.28
Te: 0.5000 0.7593 0.7674  2 Sn 3.11, 1 Sm 3.16, 3 Na 3.27-3.28
Te: 0.0000 0.2503 0.7658  1 Sn 3.11, 2 Sm 3.14, 3 Na 3.25-3.31
Te: 0.0000 0.7497 0.2342  1 Sn 3.11, 2 Sm 3.14, 3 Na 3.25-3.31



3.
NaSmTmSn | PBE-GGA | optimized geometry

Summary:
N(E_F) in states/eV per atom: 0.846
E_form in eV/atom: -0.253
SG: F-43m, No. 216

Cell lengths 5.3525, 5.3525, 5.3525 Å; angles 60.00, 60.00, 60.00 degrees
Last column: nearest neighbours and their distance in Å.
Fractional positions:
Na: 0.7500 0.7500 0.7500  4 Tm 3.28, 4 Sm 3.28
Tm: 0.5000 0.5000 0.5000  4 Sn 3.28, 4 Na 3.28
Sn: 0.2500 0.2500 0.2500  4 Tm 3.28, 4 Sm 3.28
Sm: 0.0000 0.0000 0.0000  4 Na 3.28, 4 Sn 3.28